Material: ScTiAs2Br
Method: DFT, PBE
State: relaxed

a = 5.085 Å, b = 5.085 Å, c = 5.171 Å
α = 90.00°, β = 90.00°, γ = 90.00°
Space group P4/mmm (No. 123)
Symmetry-distinct sites (fractional):
Sc: 0.000 0.000 0.000 (multiplicity 1)
Ti: 0.500 0.500 0.500 (multiplicity 1)
As: 0.000 0.500 0.000 (multiplicity 2)
Br: 0.000 0.000 0.500 (multiplicity 1)

Results
The distance to the lowest polymorph of the same formula comes out at 0.348 eV/atom. Its uncorrected formation energy is 46.0 kJ/mol of formula units. As for the total magnetic moment: 1.741 μB/f.u. As for the total energy: -0.3634 Ry per atom.